(1)
A relaxed structure of CaSi2P, computed with PBE.

Results
- total magnetic moment (μB/atom) = 0.000
- mass density (Mg/m³) = 2.9
- calculated total energy (eV per atom) = -4.6808
- formation energy (no corrections) (eV per atom) = -0.116
- D(E_F) (states/eV/f.u.) = 0.5

CIF file:
```
data_CaSi2P
_symmetry_space_group_name_H-M 'P 1'
_symmetry_Int_Tables_number 1
_symmetry_space_group_name_Hall 'P 1'
_cell_length_a 3.528
_cell_length_b 3.528
_cell_length_c 5.948
_cell_angle_alpha 90.00
_cell_angle_beta 90.00
_cell_angle_gamma 90.00
loop_
_atom_site_label
_atom_site_fract_x
_atom_site_fract_y
_atom_site_fract_z
Ca1 0.000 0.000 0.000
Si1 0.000 0.000 0.498
Si2 0.500 0.500 0.682
P1 0.500 0.500 0.300
```

---

(2)
A relaxed structure of CaSiP, computed with PBE.

Results
- total magnetic moment (μB/atom) = 0.000
- mass density (Mg/m³) = 2.3
- calculated total energy (eV per atom) = -4.0092
- formation energy (no corrections) (eV per atom) = 0.269
- D(E_F) (states/eV/f.u.) = 3.0

CIF file:
```
data_CaSiP
_symmetry_space_group_name_H-M 'P 1'
_symmetry_Int_Tables_number 1
_symmetry_space_group_name_Hall 'P 1'
_cell_length_a 4.664
_cell_length_b 4.664
_cell_length_c 4.664
_cell_angle_alpha 60.00
_cell_angle_beta 60.00
_cell_angle_gamma 60.00
loop_
_atom_site_label
_atom_site_fract_x
_atom_site_fract_y
_atom_site_fract_z
Ca1 0.000 0.000 0.000
Si1 0.750 0.750 0.750
P1 0.250 0.250 0.250
```

---

(3)
A relaxed structure of Ca3Si2P4, computed with PBE.

Results
- total magnetic moment (μB/atom) = 0.000
- mass density (Mg/m³) = 2.4
- calculated total energy (eV per atom) = -5.0482
- formation energy (no corrections) (eV per atom) = -0.772

CIF file:
```
data_Ca3Si2P4
_symmetry_space_group_name_H-M 'P 1'
_symmetry_Int_Tables_number 1
_symmetry_space_group_name_Hall 'P 1'
_cell_length_a 8.166
_cell_length_b 8.166
_cell_length_c 7.227
_cell_angle_alpha 90.78
_cell_angle_beta 90.78
_cell_angle_gamma 57.71
loop_
_atom_site_label
_atom_site_fract_x
_atom_site_fract_y
_atom_site_fract_z
Ca1 0.009 0.991 0.750
Ca2 0.273 0.477 0.120
Ca3 0.477 0.273 0.620
Ca4 0.523 0.727 0.380
Ca5 0.727 0.523 0.880
Ca6 0.991 0.009 0.250
Si1 0.043 0.335 0.513
Si2 0.335 0.043 0.013
Si3 0.665 0.957 0.987
Si4 0.957 0.665 0.487
P1 0.149 0.300 0.822
P2 0.221 0.676 0.497
P3 0.300 0.149 0.322
P4 0.324 0.779 0.003
P5 0.676 0.221 0.997
P6 0.700 0.851 0.678
P7 0.779 0.324 0.503
P8 0.851 0.700 0.178
```

---

(4)
A relaxed structure of Ca2SiP2, computed with PBE.

Results
- total magnetic moment (μB/atom) = 0.000
- mass density (Mg/m³) = 2.8
- calculated total energy (eV per atom) = -4.6613
- formation energy (no corrections) (eV per atom) = -0.612
- D(E_F) (states/eV/f.u.) = 1.9

CIF file:
```
data_Ca2SiP2
_symmetry_space_group_name_H-M 'P 1'
_symmetry_Int_Tables_number 1
_symmetry_space_group_name_Hall 'P 1'
_cell_length_a 6.909
_cell_length_b 6.909
_cell_length_c 4.267
_cell_angle_alpha 90.00
_cell_angle_beta 90.00
_cell_angle_gamma 90.00
loop_
_atom_site_label
_atom_site_fract_x
_atom_site_fract_y
_atom_site_fract_z
Ca1 0.182 0.318 0.000
Ca2 0.318 0.818 0.000
Ca3 0.682 0.182 0.000
Ca4 0.818 0.682 0.000
Si1 0.000 0.000 0.500
Si2 0.500 0.500 0.500
P1 0.118 0.618 0.500
P2 0.382 0.118 0.500
P3 0.618 0.882 0.500
P4 0.882 0.382 0.500
```

---

(5)
A relaxed structure of CaSi2P, computed with PBE.

Results
- total magnetic moment (μB/atom) = 0.000
- mass density (Mg/m³) = 2.7
- calculated total energy (eV per atom) = -4.5748
- formation energy (no corrections) (eV per atom) = -0.010
- D(E_F) (states/eV/f.u.) = 1.4

CIF file:
```
data_CaSi2P
_symmetry_space_group_name_H-M 'P 1'
_symmetry_Int_Tables_number 1
_symmetry_space_group_name_Hall 'P 1'
_cell_length_a 5.767
_cell_length_b 5.767
_cell_length_c 3.894
_cell_angle_alpha 109.72
_cell_angle_beta 109.72
_cell_angle_gamma 122.86
loop_
_atom_site_label
_atom_site_fract_x
_atom_site_fract_y
_atom_site_fract_z
Ca1 0.000 0.000 0.000
Si1 0.000 0.500 0.000
Si2 0.500 0.000 0.000
P1 0.500 0.500 0.000
```

---

(6)
A relaxed structure of CaSi2P, computed with PBE.

Results
- total magnetic moment (μB/atom) = 0.000
- mass density (Mg/m³) = 2.8
- calculated total energy (eV per atom) = -4.5802
- formation energy (no corrections) (eV per atom) = -0.016
- D(E_F) (states/eV/f.u.) = 1.5

CIF file:
```
data_CaSi2P
_symmetry_space_group_name_H-M 'P 1'
_symmetry_Int_Tables_number 1
_symmetry_space_group_name_Hall 'P 1'
_cell_length_a 3.496
_cell_length_b 3.496
_cell_length_c 6.121
_cell_angle_alpha 90.00
_cell_angle_beta 90.00
_cell_angle_gamma 90.00
loop_
_atom_site_label
_atom_site_fract_x
_atom_site_fract_y
_atom_site_fract_z
Ca1 0.000 0.000 0.000
Si1 0.500 0.500 0.313
Si2 0.500 0.500 0.687
P1 0.000 0.000 0.500
```

---

(7)
A relaxed structure of CaSi2P, computed with PBE.

Results
- total magnetic moment (μB/atom) = 0.000
- mass density (Mg/m³) = 2.8
- calculated total energy (eV per atom) = -4.3249
- formation energy (no corrections) (eV per atom) = 0.239
- D(E_F) (states/eV/f.u.) = 3.6

CIF file:
```
data_CaSi2P
_symmetry_space_group_name_H-M 'P 1'
_symmetry_Int_Tables_number 1
_symmetry_space_group_name_Hall 'P 1'
_cell_length_a 4.756
_cell_length_b 4.756
_cell_length_c 4.756
_cell_angle_alpha 60.00
_cell_angle_beta 60.00
_cell_angle_gamma 60.00
loop_
_atom_site_label
_atom_site_fract_x
_atom_site_fract_y
_atom_site_fract_z
Ca1 0.000 0.000 0.000
Si1 0.250 0.250 0.250
Si2 0.500 0.500 0.500
P1 0.750 0.750 0.750
```

---

(8)
A relaxed structure of CaSiP, computed with PBE.

Results
- total magnetic moment (μB/atom) = 0.000
- mass density (Mg/m³) = 2.4
- calculated total energy (eV per atom) = -4.6691
- formation energy (no corrections) (eV per atom) = -0.391
- D(E_F) (states/eV/f.u.) = 1.6

CIF file:
```
data_CaSiP
_symmetry_space_group_name_H-M 'P 1'
_symmetry_Int_Tables_number 1
_symmetry_space_group_name_Hall 'P 1'
_cell_length_a 7.394
_cell_length_b 7.394
_cell_length_c 7.394
_cell_angle_alpha 147.08
_cell_angle_beta 141.35
_cell_angle_gamma 51.65
loop_
_atom_site_label
_atom_site_fract_x
_atom_site_fract_y
_atom_site_fract_z
Ca1 0.147 0.147 0.000
Ca2 0.853 0.853 0.000
Si1 0.229 0.500 0.729
Si2 0.771 0.500 0.271
P1 0.360 0.360 0.000
P2 0.640 0.640 0.000
```